# Si2Pb | Alexandria via LeMat-Bulk | SCAN | PBEsol geometry
# Distance to the lowest polymorph of the same formula   0 meV per atom
# DOS(E_F)   2.44 states/eV per cell
# Final energy   -31.4771 eV/atom
# Crystal system   orthorhombic
# Raw formation energy   0.460 eV per atom
# SG   No. 63
data_Si2Pb
_chemical_formula_sum 'Si4 Pb2'
_symmetry_space_group_name_H-M 'P 1'
_symmetry_Int_Tables_number 1
_cell_length_a 3.781
_cell_length_b 5.412
_cell_length_c 6.534
_cell_angle_alpha 90.00
_cell_angle_beta 106.82
_cell_angle_gamma 90.00
loop_
_symmetry_equiv_pos_as_xyz
'x,y,z'
loop_
_atom_site_label
_atom_site_fract_x
_atom_site_fract_y
_atom_site_fract_z
Si1 0.986 0.750 0.971
Pb1 0.319 0.250 0.637
Si2 0.370 0.750 0.741
Si3 0.630 0.250 0.259
Si4 0.014 0.250 0.029
Pb2 0.681 0.750 0.363